No. 1
LaZr2Cd at its PBEsol-relaxed geometry. Source: Alexandria, functional meta-GGA SCAN. Values from VASP.

```
&SYSTEM
  ibrav = 0, nat = 12, ntyp = 3
/
ATOMIC_SPECIES
La 138.91 La.upf
Zr 91.22 Zr.upf
Cd 112.41 Cd.upf
ATOMIC_POSITIONS crystal
La 0.0000 0.0000 0.0000
La 0.3333 0.6667 0.6667
La 0.6667 0.3333 0.3333
Zr 0.0000 0.0000 0.2430
Zr 0.0000 0.0000 0.5014
Zr 0.3333 0.6667 0.1681
Zr 0.3333 0.6667 0.9096
Zr 0.6667 0.3333 0.5763
Zr 0.6667 0.3333 0.8347
Cd 0.0000 0.0000 0.7568
Cd 0.3333 0.6667 0.4234
Cd 0.6667 0.3333 0.0901
CELL_PARAMETERS angstrom
3.2545 0.0000 0.0000
-1.6273 2.8185 0.0000
0.0000 0.0000 31.9880
```

## Properties
E_form (eV per atom): 0.0425
Volume (Å³ per cell): 293
E_tot (eV for the cell shown): -404.2

***

No. 2
Li2Cd at its PBEsol-relaxed geometry. Source: Alexandria, functional meta-GGA SCAN. Values from VASP.

```
&SYSTEM
  ibrav = 0, nat = 6, ntyp = 2
/
ATOMIC_SPECIES
Li 6.94 Li.upf
Cd 112.41 Cd.upf
ATOMIC_POSITIONS crystal
Li 0.0000 0.0000 0.1645
Li 0.0000 0.0000 0.8355
Li 0.5000 0.5000 0.3355
Li 0.5000 0.5000 0.6645
Cd 0.0000 0.0000 0.5000
Cd 0.5000 0.5000 0.0000
CELL_PARAMETERS angstrom
3.3268 0.0000 0.0000
0.0000 3.3268 0.0000
0.0000 0.0000 9.4681
```

## Properties
E_form (eV per atom): -0.2397
Volume (Å³ per cell): 105
E_tot (eV for the cell shown): -71.8